(1)
## Ni2Se3S (PBE-GGA)

Data for Ni2Se3S after structural relaxation.

Summary:
Final energy in Ry/atom: -0.31991
Magnetization in Bohr magnetons per cell: 0.02

Lattice parameters (Å, degrees): 6.061 3.494 10.293 90.00 106.98 90.00
Fractional coordinates of all 6 atoms:
Ni1 0.000 0.000 0.000
Ni2 0.472 0.500 0.000
Se1 0.077 0.500 0.859
Se2 0.593 0.000 0.870
Se3 0.719 0.000 0.126
S1 0.208 0.500 0.116

=====

(2)
## SmNi3Se2S2 (PBE-GGA)

Data for SmNi3Se2S2 after structural relaxation.

Summary:
Final energy in Ry/atom: -0.38182
Magnetization in Bohr magnetons per cell: 0.01

Lattice parameters (Å, degrees): 5.200 5.200 6.465 90.00 90.00 90.08
Fractional coordinates of all 8 atoms:
Sm1 0.000 0.000 0.000
Ni1 0.000 0.000 0.510
Ni2 0.000 0.500 0.523
Ni3 0.500 0.000 0.523
Se1 0.281 0.281 0.299
Se2 0.719 0.719 0.299
S1 0.259 0.741 0.711
S2 0.741 0.259 0.711

=====

(3)
## Ta2NiSe4S2 (PBE-GGA)

Data for Ta2NiSe4S2 after structural relaxation.

Summary:
Final energy in Ry/atom: -0.47383
Magnetization in Bohr magnetons per cell: 0.00

Lattice parameters (Å, degrees): 6.743 6.743 10.582 119.32 119.32 28.83
Fractional coordinates of all 9 atoms:
Ta1 0.173 0.173 0.283
Ta2 0.827 0.827 0.717
Ni1 0.500 0.500 0.000
Se1 0.161 0.161 0.536
Se2 0.499 0.499 0.221
Se3 0.501 0.501 0.779
Se4 0.839 0.839 0.464
S1 0.304 0.304 0.873
S2 0.696 0.696 0.127

=====

(4)
## TmNi3Se2S2 (PBE-GGA)

Data for TmNi3Se2S2 after structural relaxation.

Summary:
Final energy in Ry/atom: -0.36450
Magnetization in Bohr magnetons per cell: 0.39

Lattice parameters (Å, degrees): 5.499 5.499 5.368 90.00 90.00 97.49
Fractional coordinates of all 8 atoms:
Tm1 0.000 0.000 0.000
Ni1 0.000 0.000 0.485
Ni2 0.000 0.500 0.857
Ni3 0.500 0.000 0.857
Se1 0.306 0.694 0.141
Se2 0.694 0.306 0.141
S1 0.263 0.263 0.664
S2 0.737 0.737 0.664